# Pr2Dy7Y2 (PBE, optimized geometry)
# - Magnetic moment: 0.00 μB/f.u.
# - Uncorrected energy: -4.848 eV/atom
# - Energy above the most stable polymorph in this dataset: 0 meV/atom
# - Density: 7.275 g/cm3
# - Calculated volume: 33.1 Å³/atom
# - Density of states at the Fermi level: 31.122 states/eV per cell
data_Pr2Dy7Y2
_cell_length_a 17.6366
_cell_length_b 11.6753
_cell_length_c 3.6172
_cell_angle_alpha 90.00
_cell_angle_beta 101.80
_cell_angle_gamma 90.00
_space_group_name_H-M_alt 'C 1 2/m 1'
_space_group_IT_number 12
loop_
_space_group_symop_operation_xyz
'x,y,z'
'-x,-y,-z'
'-x,y,-z'
'x,-y,z'
'x+1/2,y+1/2,z'
'-x+1/2,-y+1/2,-z'
'-x+1/2,y+1/2,-z'
'x+1/2,-y+1/2,z'
loop_
_atom_site_label
_atom_site_fract_x
_atom_site_fract_y
_atom_site_fract_z
_atom_site_occupancy
Pr1 0.0000 0.2369 0.0000 1
Dy1 0.0000 0.5000 0.5000 1
Dy2 0.1199 0.0000 0.1214 1
Dy3 0.1687 0.2452 0.6690 1
Y1 0.1989 0.5000 0.1991 1

***

# PrDy3Y3 (PBE, optimized geometry)
# - Magnetic moment: 0.00 μB/f.u.
# - Uncorrected energy: -5.244 eV/atom
# - Energy above the most stable polymorph in this dataset: 0 meV/atom
# - Density: 6.359 g/cm3
# - Calculated volume: 33.4 Å³/atom
# - Density of states at the Fermi level: 88.009 states/eV per cell
data_PrDy3Y3
_cell_length_a 12.8460
_cell_length_b 13.3231
_cell_length_c 11.0136
_cell_angle_alpha 90.00
_cell_angle_beta 97.24
_cell_angle_gamma 90.00
_space_group_name_H-M_alt 'C 1 m 1'
_space_group_IT_number 8
loop_
_space_group_symop_operation_xyz
'x,y,z'
'x,-y,z'
'x+1/2,y+1/2,z'
'x+1/2,-y+1/2,z'
loop_
_atom_site_label
_atom_site_fract_x
_atom_site_fract_y
_atom_site_fract_z
_atom_site_occupancy
Pr1 0.0000 0.0000 0.0000 1
Pr2 0.1418 0.1471 0.8093 1
Pr3 0.2896 0.0000 0.6204 1
Dy1 0.1347 0.2335 0.0884 1
Dy2 0.2046 0.5000 0.0528 1
Dy3 0.2713 0.3780 0.3496 1
Dy4 0.2804 0.1208 0.3168 1
Dy5 0.4212 0.2317 0.5567 1
Dy6 0.4726 0.5000 0.5829 1
Dy7 0.4987 0.1294 0.8405 1
Y1 0.0113 0.1207 0.3028 1
Y2 0.0201 0.3776 0.2680 1
Y3 0.0860 0.5000 0.5656 1
Y4 0.1569 0.2344 0.5303 1
Y5 0.2926 0.3695 0.7774 1
Y6 0.3153 0.0000 0.0348 1
Y7 0.3699 0.2682 0.0605 1

***

# Pr6DyY5 (PBE, optimized geometry)
# - Magnetic moment: 0.00 μB/f.u.
# - Uncorrected energy: -5.453 eV/atom
# - Energy above the most stable polymorph in this dataset: 7 meV/atom
# - Density: 5.898 g/cm3
# - Calculated volume: 34.1 Å³/atom
# - Density of states at the Fermi level: 33.672 states/eV per cell
data_Pr6DyY5
_cell_length_a 5.1899
_cell_length_b 10.1659
_cell_length_c 15.5012
_cell_angle_alpha 90.00
_cell_angle_beta 90.00
_cell_angle_gamma 90.00
_space_group_name_H-M_alt 'I m m m'
_space_group_IT_number 71
_space_group_name_Hall '-I 2 2'
loop_
_atom_site_label
_atom_site_fract_x
_atom_site_fract_y
_atom_site_fract_z
_atom_site_occupancy
Pr1 0.0000 0.2493 0.0000 1
Pr2 0.0000 0.2503 0.3337 1
Dy1 0.0000 0.5000 0.5000 1
Y1 0.0000 0.0000 0.1664 1
Y2 0.0000 0.0000 0.5000 1
Y3 0.0000 0.5000 0.1666 1

***

# Pr2Dy6Y3 (PBE, optimized geometry)
# - Magnetic moment: 0.00 μB/f.u.
# - Uncorrected energy: -4.959 eV/atom
# - Energy above the most stable polymorph in this dataset: 0 meV/atom
# - Density: 6.676 g/cm3
# - Calculated volume: 34.4 Å³/atom
# - Density of states at the Fermi level: 37.075 states/eV per cell
data_Pr2Dy6Y3
_cell_length_a 6.1420
_cell_length_b 10.6530
_cell_length_c 11.7662
_cell_angle_alpha 90.00
_cell_angle_beta 100.13
_cell_angle_gamma 90.00
_space_group_name_H-M_alt 'C 1 2/m 1'
_space_group_IT_number 12
loop_
_space_group_symop_operation_xyz
'x,y,z'
'-x,-y,-z'
'-x,y,-z'
'x,-y,z'
'x+1/2,y+1/2,z'
'-x+1/2,-y+1/2,-z'
'-x+1/2,y+1/2,-z'
'x+1/2,-y+1/2,z'
loop_
_atom_site_label
_atom_site_fract_x
_atom_site_fract_y
_atom_site_fract_z
_atom_site_occupancy
Pr1 0.0000 0.1668 0.0000 1
Dy1 0.2491 0.1668 0.7472 1
Dy2 0.2504 0.0000 0.2527 1
Y1 0.0000 0.0000 0.5000 1
Y2 0.0000 0.3349 0.5000 1